[1]
The following is a DFT calculation (GGA-PBE) of an optimized crystal structure of Ta6NbOs2.

Cell lengths 5.4059, 5.4059, 9.7973 Å; angles 107.60, 107.60, 34.72 degrees
Last column: nearest neighbours and their distance in Å.
Fractional coordinates of all 9 atoms:
Ta1 0.0035 0.0035 0.3310  2 Os 2.78, 6 Ta 2.82-2.85
Ta2 0.3303 0.3303 0.1119  2 Os 2.79, 4 Ta 2.80-2.82, 2 Nb 2.84
Ta3 0.3309 0.3309 0.4399  2 Os 2.79, 6 Ta 2.83-2.85
Ta4 0.6691 0.6691 0.5601  2 Os 2.79, 6 Ta 2.83-2.85
Ta5 0.6697 0.6697 0.8881  2 Os 2.79, 4 Ta 2.80-2.82, 2 Nb 2.84
Ta6 0.9965 0.9965 0.6690  2 Os 2.78, 6 Ta 2.82-2.85
Nb1 0.0000 0.0000 0.0000  4 Os 2.81, 4 Ta 2.84
Os1 0.3337 0.3337 0.7785  6 Ta 2.78-2.79, 2 Nb 2.81
Os2 0.6663 0.6663 0.2215  6 Ta 2.78-2.79, 2 Nb 2.81

Computed properties:
total moment	0.0000	μB/atom
calculated formation energy	-22.77	kJ per mole of atoms


[2]
The following is a DFT calculation (GGA-PBE) of an optimized crystal structure of CaFeHg.

Cell lengths 5.9589, 5.9589, 5.9589 Å; angles 146.00, 146.00, 48.85 degrees
Last column: nearest neighbours and their distance in Å.
Fractional coordinates of all 3 atoms:
Ca1 0.0000 0.0000 0.0000  5 Fe 3.16-3.44, 5 Hg 3.27, 4 Ca 3.48
Fe1 0.6827 0.6827 0.0000  4 Hg 2.78
Hg1 0.3013 0.3013 0.0000  4 Fe 2.78

Computed properties:
total moment	0.8442	μB/atom
calculated formation energy	21.01	kJ per mole of atoms


[3]
The following is a DFT calculation (GGA-PBE) of an optimized crystal structure of TaFePd2.

Cell lengths 4.3953, 4.3953, 4.3953 Å; angles 60.00, 60.00, 60.00 degrees
Last column: nearest neighbours and their distance in Å.
Fractional coordinates of all 4 atoms:
Ta1 0.0000 0.0000 0.0000  8 Pd 2.69
Fe1 0.5000 0.5000 0.5000  8 Pd 2.69
Pd1 0.2500 0.2500 0.2500  4 Ta 2.69, 4 Fe 2.69
Pd2 0.7500 0.7500 0.7500  4 Ta 2.69, 4 Fe 2.69

Computed properties:
total moment	0.0001	μB/atom
calculated formation energy	15.42	kJ per mole of atoms


[4]
The following is a DFT calculation (GGA-PBE) of an optimized crystal structure of SmY2Ir.

Cell lengths 3.4912, 3.4912, 8.9016 Å; angles 90.00, 90.00, 90.00 degrees
Last column: nearest neighbours and their distance in Å.
Fractional coordinates of all 4 atoms:
Sm1 0.0000 0.0000 0.0000  4 Sm 3.49, 8 Y 3.74
Y1 0.5000 0.5000 0.3153  4 Ir 2.97, 1 Y 3.29
Y2 0.5000 0.5000 0.6847  4 Ir 2.97, 1 Y 3.29
Ir1 0.0000 0.0000 0.5000  8 Y 2.97

Computed properties:
total moment	0.0000	μB/atom
calculated formation energy	-37.89	kJ per mole of atoms


no.,uncorrected energy (eV/atom)
1,-11.752
2,-3.371
3,-7.515
4,-7.020